1.
Na2InO: optimized geometry, PBE.

```
data_Na2InO
_chemical_formula_sum 'Na8 In4 O4'
_space_group_name_H-M_alt 'F m -3 m'
_space_group_IT_number 225
_space_group_name_Hall '-F 4 2 3'
_cell_length_a 6.8723
_cell_length_b 6.8723
_cell_length_c 6.8723
_cell_angle_alpha 90.00
_cell_angle_beta 90.00
_cell_angle_gamma 90.00
loop_
_atom_site_label
_atom_site_fract_x
_atom_site_fract_y
_atom_site_fract_z
Na1 0.2500 0.2500 0.2500
In1 0.0000 0.0000 0.0000
O1 0.0000 0.0000 0.5000
```

Calculated values
relative energy among the computed polymorphs: 162.6 kJ/mol of formula units
formation energy without anion corrections: -144.8 meV per atom

=====

2.
ZnRu2: optimized geometry, PBE.

```
data_ZnRu2
_chemical_formula_sum 'Zn2 Ru4'
_space_group_name_H-M_alt 'I 4/m m m'
_space_group_IT_number 139
_space_group_name_Hall '-I 4 2'
_cell_length_a 2.7767
_cell_length_b 2.7767
_cell_length_c 10.9141
_cell_angle_alpha 90.00
_cell_angle_beta 90.00
_cell_angle_gamma 90.00
loop_
_atom_site_label
_atom_site_fract_x
_atom_site_fract_y
_atom_site_fract_z
Zn1 0.0000 0.0000 0.0000
Ru1 0.0000 0.0000 0.3276
```

Calculated values
ΔE_f: -0.01 eV/atom

=====

3.
Y2AlZn16: optimized geometry, PBE.

```
data_Y2AlZn16
_chemical_formula_sum 'Y6 Al3 Zn48'
_space_group_name_H-M_alt 'R 3 m'
_space_group_IT_number 160
_space_group_name_Hall 'R 3 -2"'
_cell_length_a 8.9924
_cell_length_b 8.9924
_cell_length_c 13.1548
_cell_angle_alpha 90.00
_cell_angle_beta 90.00
_cell_angle_gamma 120.00
loop_
_atom_site_label
_atom_site_fract_x
_atom_site_fract_y
_atom_site_fract_z
Y1 0.0000 0.0000 0.0000
Y2 0.0000 0.0000 0.3296
Al1 0.0000 0.0000 0.5677
Zn1 0.0000 0.0000 0.7654
Zn2 0.0000 0.2997 0.6648
Zn3 0.0099 0.5049 0.8178
Zn4 0.1679 0.3358 0.4981
Zn5 0.1720 0.3440 0.8446
```

Calculated values
ΔE_f: -0.23 eV/atom